No. 1
KRbTe2Pt: PBEsol geometry, meta-GGA SCAN.

```
KRbTe2Pt
1.0
5.877 0.000 0.000
0.000 5.877 0.000
0.000 0.000 5.529
K Rb Te Pt
1 1 2 1
direct
0.000 0.000 0.000 K
0.000 0.000 0.500 Rb
0.000 0.500 0.000 Te
0.500 0.000 0.000 Te
0.500 0.500 0.500 Pt
```

Computed properties:
* size of the total moment: 0.68 μB per formula unit
* ΔE_f (raw): 0.888 eV/atom
* crystal system: tetragonal

=====

No. 2
KRe2Pt: PBEsol geometry, meta-GGA SCAN.

```
KRe2Pt
1.0
2.678 0.000 0.000
0.000 3.857 0.000
0.000 0.000 7.815
K Re Pt
1 2 1
direct
0.000 0.000 0.000 K
0.000 0.000 0.495 Re
0.500 0.500 0.646 Re
0.500 0.500 0.309 Pt
```

Computed properties:
* size of the total moment: 0.00 μB per formula unit
* energy of formation: 0.538 eV per atom
* excess energy over the best structure of this formula in the dataset: 0.000 eV/atom
* crystal system: orthorhombic

=====

No. 3
KRePt2: PBEsol geometry, meta-GGA SCAN.

```
KRePt2
1.0
0.000 3.244 3.244
3.244 0.000 3.244
3.244 3.244 0.000
K Re Pt
1 1 2
direct
0.000 0.000 0.000 K
0.500 0.500 0.500 Re
0.250 0.250 0.250 Pt
0.750 0.750 0.750 Pt
```

Computed properties:
* size of the total moment: 1.28 μB per formula unit
* energy of formation: 0.982 eV per atom
* excess energy over the best structure of this formula in the dataset: 0.562 eV/atom
* crystal system: cubic

=====

No. 4
KRe2Pt: PBEsol geometry, meta-GGA SCAN.

```
KRe2Pt
1.0
2.650 0.000 0.000
0.000 2.650 0.000
0.000 0.000 10.021
K Re Pt
1 2 1
direct
0.000 0.000 0.000 K
0.500 0.500 0.294 Re
0.500 0.500 0.706 Re
0.000 0.000 0.500 Pt
```

Computed properties:
* size of the total moment: 0.00 μB per formula unit
* energy of formation: 0.851 eV per atom
* excess energy over the best structure of this formula in the dataset: 0.313 eV/atom
* crystal system: tetragonal

=====

No. 5
KRePt2: PBEsol geometry, meta-GGA SCAN.

```
KRePt2
1.0
1.387 0.801 10.264
-1.387 0.801 10.264
0.000 -1.601 10.264
K Re Pt
1 1 2
direct
0.000 0.000 0.000 K
0.234 0.234 0.234 Re
0.498 0.498 0.498 Pt
0.755 0.755 0.755 Pt
```

Computed properties:
* size of the total moment: 0.00 μB per formula unit
* energy of formation: 0.420 eV per atom
* excess energy over the best structure of this formula in the dataset: 0.000 eV/atom
* crystal system: trigonal

=====

No. 6
KRe2Pt: PBEsol geometry, meta-GGA SCAN.

```
KRe2Pt
1.0
2.688 -5.063 0.000
2.688 5.063 0.000
-0.851 0.000 2.466
K Re Pt
1 2 1
direct
0.000 0.000 0.000 K
0.000 0.500 0.500 Re
0.500 0.000 0.500 Re
0.500 0.500 0.000 Pt
```

Computed properties:
* size of the total moment: 0.00 μB per formula unit
* energy of formation: 1.162 eV per atom
* excess energy over the best structure of this formula in the dataset: 0.624 eV/atom
* crystal system: monoclinic

=====

| no. | DOS(E_F) (states/eV/f.u.) |
| --- | --- |
| 1 | 4.8 |
| 2 | 3.8 |
| 3 | 3.3 |
| 4 | 4.5 |
| 5 | 3.0 |
| 6 | 3.9 |